Below is a geometry-optimized Na2MgTlPd structure, with properties calculated at the GGA-PBE level.

Calculated values
- Crystal system: tetragonal
- Volume: 29.54 A^3/atom
- Energy of formation from the pure elements: 24 meV per atom

abc: 5.405 5.405 5.055
angles: 90.00 90.00 90.00
Space group P4/mmm (No. 123)
Asymmetric unit:
Na1 0.000 0.500 0.000
Mg1 0.000 0.000 0.500
Tl1 0.500 0.500 0.500
Pd1 0.000 0.000 0.000

=====

Below is a geometry-optimized La4Ag structure, with properties calculated at the GGA-PBE level.

Calculated values
- Crystal system: trigonal
- Offset from the most stable computed form: 0.0800 eV per atom
- Volume: 33.90 A^3/atom
- Energy of formation from the pure elements: -17 meV per atom

abc: 3.7450 3.7450 41.8654
angles: 90.00 90.00 120.00
Space group R-3m (No. 166, hexagonal axes)
Asymmetric unit:
La1 0.0000 0.0000 0.1094
La2 0.0000 0.0000 0.2964
Ag1 0.0000 0.0000 0.5000

=====

Below is a geometry-optimized SrTb2Gd structure, with properties calculated at the GGA-PBE level.

Calculated values
- Crystal system: tetragonal
- Offset from the most stable computed form: 0.0000 eV per atom
- Volume: 36.09 A^3/atom
- Energy of formation from the pure elements: 123 meV per atom

abc: 3.695 3.695 10.576
angles: 90.00 90.00 90.00
Space group P4/mmm (No. 123)
Asymmetric unit:
Sr1 0.000 0.000 0.000
Tb1 0.500 0.500 0.278
Gd1 0.000 0.000 0.500

=====

Below is a geometry-optimized LiTbSmGd structure, with properties calculated at the GGA-PBE level.

Calculated values
- Crystal system: cubic
- Volume: 29.90 A^3/atom
- Energy of formation from the pure elements: 182 meV per atom

abc: 7.821 7.821 7.821
angles: 90.00 90.00 90.00
Space group F-43m (No. 216)
Asymmetric unit:
Li1 0.000 0.000 0.000
Tb1 0.250 0.250 0.750
Sm1 0.250 0.250 0.250
Gd1 0.000 0.000 0.500

=====

Below is a geometry-optimized Cs2TiBrF structure, with properties calculated at the GGA-PBE level.

Calculated values
- Crystal system: tetragonal
- Formation energy without anion corrections: -0.62 eV/atom
- Volume: 49.41 A^3/atom

abc: 7.026 7.026 5.005
angles: 90.00 90.00 90.00
Space group P4/mmm (No. 123)
Asymmetric unit:
Cs1 0.000 0.500 0.000
Ti1 0.000 0.000 0.500
Br1 0.000 0.000 0.000
F1 0.500 0.500 0.500

=====

Below is a geometry-optimized ZnSb2Se structure, with properties calculated at the GGA-PBE level.

Calculated values
- Crystal system: orthorhombic
- Formation energy without anion corrections: 0.18 eV/atom
- Offset from the most stable computed form: 0.3788 eV per atom
- Volume: 23.91 A^3/atom

abc: 3.629 5.747 9.170
angles: 90.00 90.00 90.00
Space group Immm (No. 71)
Asymmetric unit:
Zn1 0.000 0.000 0.000
Sb1 0.000 0.500 0.251
Se1 0.000 0.000 0.500

=====

Below is a geometry-optimized BaAcZn2 structure, with properties calculated at the GGA-PBE level.

Calculated values
- Crystal system: tetragonal
- Volume: 32.21 A^3/atom
- Energy of formation from the pure elements: -208 meV per atom

abc: 4.002 4.002 8.045
angles: 90.00 90.00 90.00
Space group P4/mmm (No. 123)
Asymmetric unit:
Ba1 0.000 0.000 0.000
Ac1 0.000 0.000 0.500
Zn1 0.500 0.500 0.276

=====

Below is a geometry-optimized Ac2GaPd3 structure, with properties calculated at the GGA-PBE level.

Calculated values
- Crystal system: orthorhombic
- Volume: 24.79 A^3/atom
- Energy of formation from the pure elements: -805 meV per atom

abc: 8.244 9.205 15.679
angles: 90.00 90.00 90.00
Space group Fmmm (No. 69)
Asymmetric unit:
Ac1 0.245 0.000 0.000
Ac2 0.250 0.250 0.250
Ga1 0.000 0.000 0.333
Pd1 0.000 0.000 0.172
Pd2 0.000 0.237 0.413

=====

Below is a geometry-optimized GaSbCl6 structure, with properties calculated at the GGA-PBE level.

Calculated values
- Crystal system: monoclinic
- Formation energy without anion corrections: -0.87 eV/atom
- Offset from the most stable computed form: 0.1260 eV per atom
- Volume: 30.21 A^3/atom

abc: 6.332 12.627 6.321
angles: 90.00 106.95 90.00
Space group C2/m (No. 12)
Asymmetric unit:
Ga1 0.000 0.000 0.000
Sb1 0.000 0.500 0.500
Cl1 0.221 0.135 0.223
Cl2 0.243 0.000 0.759

=====

Below is a geometry-optimized HfTiAlCd structure, with properties calculated at the GGA-PBE level.

Calculated values
- Crystal system: tetragonal
- Offset from the most stable computed form: 0.0000 eV per atom
- Volume: 18.74 A^3/atom
- Energy of formation from the pure elements: -190 meV per atom

abc: 2.925 2.925 8.761
angles: 90.00 90.00 90.00
Space group P4mm (No. 99)
Asymmetric unit:
Hf1 0.000 0.000 0.000
Ti1 0.000 0.000 0.549
Al1 0.500 0.500 0.764
Cd1 0.500 0.500 0.284

=====

Below is a geometry-optimized SrH16O10 structure, with properties calculated at the GGA-PBE level.

Calculated values
- Crystal system: monoclinic
- Offset from the most stable computed form: 0.0592 eV per atom
- Volume: 9.90 A^3/atom

abc: 8.808 8.811 6.889
angles: 90.00 90.27 90.00
Space group C2 (No. 5)
Asymmetric unit:
Sr1 0.000 0.000 0.000
H1 0.002 0.674 0.686
H2 0.003 0.326 0.685
H3 0.090 0.167 0.319
H4 0.096 0.832 0.686
H5 0.165 0.907 0.320
H6 0.170 0.093 0.687
H7 0.172 0.500 0.311
H8 0.176 0.500 0.682
O1 0.002 0.500 0.609
O2 0.003 0.217 0.733
O3 0.003 0.783 0.734
O4 0.214 0.000 0.271
O5 0.219 0.000 0.738

=====

Below is a geometry-optimized ReSbCl2 structure, with properties calculated at the GGA-PBE level.

Calculated values
- Crystal system: cubic
- Formation energy without anion corrections: 1.17 eV/atom
- Offset from the most stable computed form: 1.1612 eV per atom
- Volume: 20.25 A^3/atom

abc: 6.868 6.868 6.868
angles: 90.00 90.00 90.00
Space group Fm-3m (No. 225)
Asymmetric unit:
Re1 0.000 0.000 0.000
Sb1 0.000 0.000 0.500
Cl1 0.250 0.250 0.250

=====

Below is a geometry-optimized NaTl2In structure, with properties calculated at the GGA-PBE level.

Calculated values
- Crystal system: tetragonal
- Volume: 28.64 A^3/atom
- Energy of formation from the pure elements: -66 meV per atom

abc: 3.931 3.931 7.413
angles: 90.00 90.00 90.00
Space group P4/mmm (No. 123)
Asymmetric unit:
Na1 0.000 0.000 0.000
Tl1 0.500 0.500 0.260
In1 0.000 0.000 0.500

=====

Below is a geometry-optimized K2AsP2 structure, with properties calculated at the GGA-PBE level.

Calculated values
- Crystal system: tetragonal
- Offset from the most stable computed form: 0.0000 eV per atom
- Volume: 24.69 A^3/atom
- Energy of formation from the pure elements: -187 meV per atom

abc: 6.903 6.903 5.180
angles: 90.00 90.00 90.00
Space group P4/mbm (No. 127)
Asymmetric unit:
K1 0.184 0.316 0.000
As1 0.000 0.000 0.500
P1 0.112 0.612 0.500

=====

Below is a geometry-optimized AcPuSbS structure, with properties calculated at the GGA-PBE level.

Calculated values
- Crystal system: tetragonal
- Formation energy without anion corrections: -1.17 eV/atom
- Volume: 32.04 A^3/atom

abc: 4.846 4.846 10.912
angles: 90.00 90.00 90.00
Space group P4/nmm (No. 129, origin choice 2)
Asymmetric unit:
Ac1 0.250 0.250 0.145
Pu1 0.250 0.750 0.500
Sb1 0.250 0.250 0.689
S1 0.250 0.750 0.000

=====

Below is a geometry-optimized Li5Zn4Cu4 structure, with properties calculated at the GGA-PBE level.

Calculated values
- Crystal system: tetragonal
- Volume: 13.72 A^3/atom
- Energy of formation from the pure elements: -99 meV per atom

abc: 9.507 9.507 3.947
angles: 90.00 90.00 90.00
Space group I4/m (No. 87)
Asymmetric unit:
Li1 0.000 0.000 0.000
Li2 0.031 0.799 0.500
Zn1 0.071 0.626 0.000
Cu1 0.164 0.238 0.000

=====

Below is a geometry-optimized Sc5As3 structure, with properties calculated at the GGA-PBE level.

Calculated values
- Crystal system: hexagonal
- Offset from the most stable computed form: 0.0023 eV per atom
- Volume: 19.52 A^3/atom
- Energy of formation from the pure elements: -1114 meV per atom

abc: 7.9632 7.9632 5.6883
angles: 90.00 90.00 120.00
Space group P6_3/mcm (No. 193)
Asymmetric unit:
Sc1 0.0000 0.2491 0.2500
Sc2 0.3333 0.6667 0.0000
As1 0.0000 0.3855 0.7500

=====

Below is a geometry-optimized CuBSe2 structure, with properties calculated at the GGA-PBE level.

Calculated values
- Crystal system: trigonal
- Formation energy without anion corrections: 0.23 eV/atom
- Volume: 22.39 A^3/atom

abc: 4.1045 4.1045 18.4147
angles: 90.00 90.00 120.00
Space group R-3m (No. 166, hexagonal axes)
Asymmetric unit:
Cu1 0.0000 0.0000 0.0000
B1 0.0000 0.0000 0.5000
Se1 0.0000 0.0000 0.4007

=====

Below is a geometry-optimized AcSmH2 structure, with properties calculated at the GGA-PBE level.

Calculated values
- Crystal system: trigonal
- Offset from the most stable computed form: 0.0553 eV per atom
- Volume: 21.08 A^3/atom

abc: 3.8628 3.8628 19.5723
angles: 90.00 90.00 120.00
Space group R3m (No. 160, hexagonal axes)
Asymmetric unit:
Ac1 0.0000 0.0000 0.0000
Sm1 0.0000 0.0000 0.1841
H1 0.0000 0.0000 0.5762
H2 0.0000 0.0000 0.8666

=====

Below is a geometry-optimized Ti2OsCl2 structure, with properties calculated at the GGA-PBE level.

Calculated values
- Crystal system: tetragonal
- Formation energy without anion corrections: 0.11 eV/atom
- Offset from the most stable computed form: 0.0389 eV per atom
- Volume: 15.48 A^3/atom

abc: 7.427 7.427 2.806
angles: 90.00 90.00 90.00
Space group P4/mbm (No. 127)
Asymmetric unit:
Ti1 0.185 0.315 0.000
Os1 0.000 0.000 0.500
Cl1 0.127 0.627 0.500